1.
Re2AgP: optimized geometry, PBE-GGA.

The total moment is 0.00 μB per cell. As for the formation energy from the elements: 7.050 kcal/mol of atoms. The density is 14.03 g/cm³.

It has space group Immm (No. 71), with a = 2.8701 Å, b = 4.4626 Å, c = 9.4510 Å, α = 90.00°, β = 90.00° and γ = 90.00°. The asymmetric unit holds Re at (0.0000, 0.0000, 0.2043), Ag at (0.0000, 0.5000, 0.0000) and P at (0.0000, 0.5000, 0.5000).



2.
ReAg2P2: optimized geometry, PBE-GGA.

The total moment is 2.32 μB per cell. For the distance to the lowest polymorph of the same formula, the calculation gives 0.113 eV per atom. As for the formation energy from the elements: 22.646 kcal/mol of atoms. The density is 9.43 g/cm³.

It has space group P4/mbm (No. 127), with a = 7.2592 Å, b = 7.2592 Å, c = 3.1006 Å, α = 90.00°, β = 90.00° and γ = 90.00°. The asymmetric unit holds Re at (0.0000, 0.0000, 0.0000), Ag at (0.1290, 0.3710, 0.0000) and P at (0.1810, 0.6810, 0.5000).



3.
ReAg2P: optimized geometry, PBE-GGA.

The total moment is 0.00 μB per cell. As for the formation energy from the elements: 15.944 kcal/mol of atoms. The density is 11.00 g/cm³.

It has space group Pmmm (No. 47), with a = 2.6853 Å, b = 4.7206 Å, c = 5.1545 Å, α = 90.00°, β = 90.00° and γ = 90.00°. The asymmetric unit holds Re at (0.0000, 0.0000, 0.0000), Ag at (0.5000, 0.5000, 0.2466) and P at (0.0000, 0.0000, 0.5000).